# PBE Y3Ho2Sc2, optimized geometry
# polymorph energy (0 for the lowest one) = 0.000 eV/atom
data_Y3Ho2Sc2
_cell_length_a 5.215
_cell_length_b 23.204
_cell_length_c 3.432
_cell_angle_alpha 90.00
_cell_angle_beta 90.00
_cell_angle_gamma 90.00
_symmetry_space_group_name_H-M 'C m m m'
_symmetry_Int_Tables_number 65
_symmetry_space_group_name_Hall '-C 2 2'
loop_
_atom_site_label
_atom_site_fract_x
_atom_site_fract_y
_atom_site_fract_z
Y1 0.000 0.000 0.000
Y2 0.000 0.424 0.500
Ho1 0.000 0.285 0.500
Sc1 0.000 0.152 0.000

Material: Y3Ho8Sc2
Method: DFT, PBE
State: optimized geometry

Cell and atoms, written as CIF:
```
data_Y3Ho8Sc2
_cell_length_a 19.449
_cell_length_b 7.627
_cell_length_c 5.549
_cell_angle_alpha 90.00
_cell_angle_beta 90.02
_cell_angle_gamma 90.00
_symmetry_space_group_name_H-M 'C 1 2/m 1'
_symmetry_Int_Tables_number 12
_symmetry_space_group_name_Hall '-C 2y'
loop_
_atom_site_label
_atom_site_fract_x
_atom_site_fract_y
_atom_site_fract_z
Y1 0.000 0.000 0.000
Y2 0.000 0.286 0.500
Ho1 0.113 0.290 0.000
Ho2 0.136 0.000 0.500
Ho3 0.176 0.500 0.501
Sc1 0.241 0.000 0.999
```

# PBE YHo12Sc7, optimized geometry
# polymorph energy (0 for the lowest one) = 0.510 eV/atom
data_YHo12Sc7
_cell_length_a 10.910
_cell_length_b 10.910
_cell_length_c 10.910
_cell_angle_alpha 90.00
_cell_angle_beta 90.00
_cell_angle_gamma 90.00
_symmetry_space_group_name_H-M 'I m -3'
_symmetry_Int_Tables_number 204
_symmetry_space_group_name_Hall '-I 2 2 3'
loop_
_atom_site_label
_atom_site_fract_x
_atom_site_fract_y
_atom_site_fract_z
Y1 0.000 0.000 0.000
Ho1 0.000 0.261 0.260
Sc1 0.000 0.000 0.500
Sc2 0.250 0.250 0.250

Material: Y2Ho7Sc
Method: DFT, PBE
State: optimized geometry

Cell and atoms, written as CIF:
```
data_Y2Ho7Sc
_cell_length_a 6.405
_cell_length_b 28.370
_cell_length_c 3.447
_cell_angle_alpha 90.00
_cell_angle_beta 90.00
_cell_angle_gamma 90.00
_symmetry_space_group_name_H-M 'C m m m'
_symmetry_Int_Tables_number 65
_symmetry_space_group_name_Hall '-C 2 2'
loop_
_atom_site_label
_atom_site_fract_x
_atom_site_fract_y
_atom_site_fract_z
Y1 0.000 0.208 0.000
Ho1 0.000 0.000 0.000
Ho2 0.000 0.315 0.500
Ho3 0.244 0.404 0.000
Sc1 0.000 0.500 0.500
```

Material: YHo3Sc5
Method: DFT, PBE
State: optimized geometry

Cell and atoms, written as CIF:
```
data_YHo3Sc5
_cell_length_a 8.332
_cell_length_b 8.332
_cell_length_c 14.213
_cell_angle_alpha 90.00
_cell_angle_beta 90.00
_cell_angle_gamma 90.00
_symmetry_space_group_name_H-M 'I 4/m c m'
_symmetry_Int_Tables_number 140
_symmetry_space_group_name_Hall '-I 4 2c'
loop_
_atom_site_label
_atom_site_fract_x
_atom_site_fract_y
_atom_site_fract_z
Y1 0.000 0.500 0.250
Ho1 0.000 0.000 0.250
Ho2 0.119 0.381 0.000
Sc1 0.000 0.000 0.000
Sc2 0.207 0.293 0.366
```

Material: YHo14Sc
Method: DFT, PBE
State: optimized geometry

Cell and atoms, written as CIF:
```
data_YHo14Sc
_cell_length_a 7.023
_cell_length_b 7.023
_cell_length_c 9.915
_cell_angle_alpha 90.00
_cell_angle_beta 90.00
_cell_angle_gamma 90.00
_symmetry_space_group_name_H-M 'P 4/m m m'
_symmetry_Int_Tables_number 123
_symmetry_space_group_name_Hall '-P 4 2'
loop_
_atom_site_label
_atom_site_fract_x
_atom_site_fract_y
_atom_site_fract_z
Y1 0.000 0.000 0.000
Ho1 0.000 0.000 0.500
Ho2 0.000 0.500 0.000
Ho3 0.000 0.500 0.500
Ho4 0.252 0.252 0.248
Ho5 0.500 0.500 0.500
Sc1 0.500 0.500 0.000
```

Taking the records one at a time from the top gives ΔH_f (0 K) values of 0.079; 0.240; 0.684; 0.173; 0.294; 0.025 eV per atom.
Taking the records one at a time from the top gives energy values of -81.32; -131.12; -184.08; -99.14; -196.85; -76.48 eV for the cell shown.